(1)
# ZnPd4Au3

A geometry-optimized ZnPd4Au3 structure (PBE, Alexandria via LeMat-Bulk).

The energy above the most stable polymorph in this dataset is 0.1298 eV/atom. As for the formation energy: -0.61 eV/f.u. As for the calculated volume: 16.782 A^3/atom. As for the crystal system: orthorhombic.

It has space group Imm2 (No. 44), with a = 5.463 Å, b = 9.071 Å, c = 5.419 Å, α = 90.00°, β = 90.00° and γ = 90.00°. The asymmetric unit holds Zn at (0.000, 0.000, 0.000), Pd at (0.000, 0.247, 0.787), Pd at (0.247, 0.500, 0.042), Au at (0.000, 0.233, 0.283) and Au at (0.000, 0.500, 0.531).

=====

(2)
# Dy6SbAs3P2

A geometry-optimized Dy6SbAs3P2 structure (PBE, Alexandria via LeMat-Bulk).

As for the calculated volume: 24.858 A^3/atom. The uncorrected formation energy comes out at -1.467 eV per atom. As for the crystal system: monoclinic.

It has space group C2/m (No. 12), with a = 17.971 Å, b = 4.118 Å, c = 8.276 Å, α = 90.00°, β = 103.06° and γ = 90.00°. The asymmetric unit holds Dy at (0.003, 0.000, 0.265), Dy at (0.169, 0.500, 0.580), Dy at (0.173, 0.500, 0.093), Sb at (0.000, 0.500, 0.000), As at (0.000, 0.500, 0.500), As at (0.165, 0.000, 0.832) and P at (0.168, 0.000, 0.336).

=====

(3)
# V2H4W

A geometry-optimized V2H4W structure (PBE, Alexandria via LeMat-Bulk).

The raw total energy comes out at -6.07 eV/atom. As for the calculated volume: 9.024 A^3/atom. As for the crystal system: tetragonal.

It has space group I4/mmm (No. 139), with a = 3.645 Å, b = 3.645 Å, c = 9.507 Å, α = 90.00°, β = 90.00° and γ = 90.00°. The asymmetric unit holds V at (0.000, 0.000, 0.115), H at (0.000, 0.000, 0.312), H at (0.000, 0.500, 0.000) and W at (0.000, 0.000, 0.500).

=====

(4)
# Pm2Zn2Se

A geometry-optimized Pm2Zn2Se structure (PBE, Alexandria via LeMat-Bulk).

As for the calculated volume: 23.937 A^3/atom. The uncorrected formation energy comes out at -0.938 eV per atom. As for the crystal system: monoclinic.

It has space group C2/m (No. 12), with a = 7.305 Å, b = 4.241 Å, c = 8.098 Å, α = 90.00°, β = 107.43° and γ = 90.00°. The asymmetric unit holds Pm at (0.092, 0.000, 0.277), Zn at (0.171, 0.500, 0.012) and Se at (0.000, 0.500, 0.500).

=====

Look up the calculated volume of the third one. 9.024 A^3/atom

=====

Which of these has the highest calculated volume? Dy6SbAs3P2

=====

The highest calculated volume belongs to which entry? Dy6SbAs3P2